First-principles (PBE-GGA) data for a relaxed structure of Y2RuW, as listed in Alexandria.

Unit cell a=3.284 b=4.240 c=6.726 alpha=90.00 beta=103.08 gamma=90.00
Sites, in units of the cell vectors:
Y 0.000 0.000 0.000
Y 0.350 0.500 0.639
Ru 0.542 0.500 0.234
W 0.786 0.000 0.404

Results
magnetic moment	0.00	μB/f.u.
DFT total energy	-34.28	eV per cell
energy of formation from the pure elements	220	meV/atom